No. 1
Computed, not measured: CsGa2Ag2 after structural relaxation at the PBE level of DFT.

abc: 8.882 8.882 3.189
angles: 90.00 90.00 90.00
Sites, in units of the cell vectors:
Cs 0.000 0.000 0.000
Cs 0.500 0.500 0.000
Ga 0.130 0.370 0.500
Ga 0.370 0.870 0.500
Ga 0.630 0.130 0.500
Ga 0.870 0.630 0.500
Ag 0.137 0.637 0.000
Ag 0.363 0.137 0.000
Ag 0.637 0.863 0.000
Ag 0.863 0.363 0.000

Results
Its formation enthalpy at 0 K is 0.8 eV/f.u. The total magnetization is 0.00 Bohr magnetons per cell. The density of states at the Fermi level comes out at 1.93 states/eV/f.u. As for the symmetry: P4/mbm (127).

***

No. 2
Computed, not measured: CsGa8Ag6 after structural relaxation at the PBE level of DFT.

abc: 7.132 7.132 7.132
angles: 70.51 70.51 70.51
Sites, in units of the cell vectors:
Cs 0.000 0.000 0.000
Ga 0.141 0.790 0.491
Ga 0.210 0.509 0.859
Ga 0.225 0.225 0.225
Ga 0.491 0.141 0.790
Ga 0.509 0.859 0.210
Ga 0.775 0.775 0.775
Ga 0.790 0.491 0.141
Ga 0.859 0.210 0.509
Ag 0.170 0.349 0.576
Ag 0.349 0.576 0.170
Ag 0.424 0.830 0.651
Ag 0.576 0.170 0.349
Ag 0.651 0.424 0.830
Ag 0.830 0.651 0.424

Results
Its formation enthalpy at 0 K is 0.8 eV/f.u. The total magnetization is 0.00 Bohr magnetons per cell. The density of states at the Fermi level comes out at 5.57 states/eV/f.u. As for the symmetry: R-3 (148).